# 1
VASP calculation (GGA-PBE) on a relaxed CsRe2Cl crystal.

## Properties
As for the space-group type: No. 225. The calculation puts the formation energy from raw total energies at 2757 meV/atom.

Cell: 4.7328 4.7328 4.7328 Å, 60.00 60.00 60.00°
With the nearest neighbours (Å) after each atom.
Sites, in units of the cell vectors:
1 Cl 0.0000 0.0000 0.0000  8 Re 2.90
2 Re 0.7500 0.7500 0.7500  4 Cs 2.90, 4 Cl 2.90
3 Cs 0.5000 0.5000 0.5000  8 Re 2.90
4 Re 0.2500 0.2500 0.2500  4 Cs 2.90, 4 Cl 2.90

---

# 2
VASP calculation (GGA-PBE) on a relaxed Cs2ReRuCl6 crystal.

## Properties
As for the space-group type: No. 139. The calculation puts the formation energy from raw total energies at -748 meV/atom.

Cell: 7.1921 7.1921 7.2020 Å, 60.05 60.05 90.00°
With the nearest neighbours (Å) after each atom.
Sites, in units of the cell vectors:
1 Cl 0.7599 0.2401 0.0000  1 Re 2.44, 1 Ru 2.64
2 Re 0.0000 0.0000 0.0000  6 Cl 2.44
3 Cl 0.2401 0.7599 0.0000  1 Re 2.44, 1 Ru 2.64
4 Cs 0.2500 0.7500 0.5000  12 Cl 3.60
5 Cs 0.7500 0.2500 0.5000  12 Cl 3.60
6 Ru 0.5000 0.5000 0.0000  6 Cl 2.64-2.66
7 Cl 0.7604 0.7604 0.4791  1 Re 2.44, 1 Ru 2.66
8 Cl 0.2401 0.2401 0.0000  1 Re 2.44, 1 Ru 2.64
9 Cl 0.2396 0.2396 0.5209  1 Re 2.44, 1 Ru 2.66
10 Cl 0.7599 0.7599 0.0000  1 Re 2.44, 1 Ru 2.64

---

# 3
VASP calculation (GGA-PBE) on a relaxed Cs2ScReCl crystal.

## Properties
As for the space-group type: No. 123. The calculation puts the formation energy from raw total energies at 1089 meV/atom.

Cell: 6.6116 4.4178 6.6116 Å, 90.00 90.00 90.00°
With the nearest neighbours (Å) after each atom.
Sites, in units of the cell vectors:
1 Cs 0.0000 0.0000 0.5000  2 Cl 3.31
2 Cl 0.0000 0.0000 0.0000  2 Re 2.21
3 Re 0.0000 0.5000 0.0000  2 Cl 2.21
4 Cs 0.5000 0.0000 0.0000  2 Cl 3.31
5 Sc 0.5000 0.5000 0.5000  8 Cs 3.98, 2 Sc 4.42

---

# 4
VASP calculation (GGA-PBE) on a relaxed Cs2ScReCl6 crystal.

## Properties
As for the space-group type: No. 225. The calculation puts the formation energy from raw total energies at -1253 meV/atom.

Cell: 7.0946 7.0946 7.0942 Å, 60.00 60.00 90.00°
With the nearest neighbours (Å) after each atom.
Sites, in units of the cell vectors:
1 Cl 0.2457 0.2457 0.5086  1 Re 2.47, 1 Sc 2.55
2 Cl 0.7541 0.7541 0.0000  1 Re 2.47, 1 Sc 2.55
3 Sc 0.5000 0.5000 0.0000  6 Cl 2.55
4 Cs 0.2500 0.7500 0.5000  12 Cl 3.55
5 Cl 0.2459 0.2459 0.0000  1 Re 2.47, 1 Sc 2.55
6 Cl 0.7541 0.2459 0.0000  1 Re 2.47, 1 Sc 2.55
7 Cl 0.2459 0.7541 0.0000  1 Re 2.47, 1 Sc 2.55
8 Cl 0.7543 0.7543 0.4914  1 Re 2.47, 1 Sc 2.55
9 Re 0.0000 0.0000 0.0000  6 Cl 2.47
10 Cs 0.7500 0.2500 0.5000  12 Cl 3.55

---

Number 1: total DFT energy (no corrections) -0.3045 Ry/atom, calculated volume 18.74 Å³ per atom. Number 2: total DFT energy (no corrections) -0.3086 Ry/atom, calculated volume 26.38 Å³ per atom. Number 3: total DFT energy (no corrections) -0.2483 Ry/atom, calculated volume 38.62 Å³ per atom. Number 4: total DFT energy (no corrections) -0.3241 Ry/atom, calculated volume 25.25 Å³ per atom.